# YErPd

Crystalline YErPd at its relaxed geometry (PBE, Alexandria).

Properties
density of states at the Fermi level = 11.519 states/eV per cell
size of the total moment = 0.00 μB per formula unit
E above lowest polymorph = 0.004 eV per atom
formation energy from the elements = -0.560 eV/atom

```
data_YErPd
_cell_length_a 7.3946
_cell_length_b 7.3946
_cell_length_c 4.8264
_cell_angle_alpha 90.00
_cell_angle_beta 90.00
_cell_angle_gamma 120.00
_space_group_name_H-M_alt 'P -6 2 m'
_space_group_IT_number 189
_space_group_name_Hall 'P -6 -2'
loop_
_atom_site_label
_atom_site_type_symbol
_atom_site_fract_x
_atom_site_fract_y
_atom_site_fract_z
Y1 Y 0.0000 0.2641 0.0000
Er1 Er 0.0000 0.5948 0.5000
Pd1 Pd 0.0000 0.0000 0.5000
Pd2 Pd 0.3333 0.6667 0.0000
```